[1]
# PBE-GGA SnHgSbAu, relaxed
# **Magnetization**: 0.0 μB/cell
# **DFT total energy**: -11.3 eV per formula unit
data_SnHgSbAu
_space_group_name_H-M_alt 'F -4 3 m'
_space_group_IT_number 216
_space_group_name_Hall 'F -4 2 3'
_cell_length_a 7.2863
_cell_length_b 7.2863
_cell_length_c 7.2863
_cell_angle_alpha 90.00
_cell_angle_beta 90.00
_cell_angle_gamma 90.00
loop_
_atom_site_label
_atom_site_type_symbol
_atom_site_fract_x
_atom_site_fract_y
_atom_site_fract_z
Sn1 Sn 0.0000 0.0000 0.0000
Hg1 Hg 0.2500 0.2500 0.2500
Sb1 Sb 0.0000 0.0000 0.5000
Au1 Au 0.2500 0.2500 0.7500


[2]
# PBE-GGA Ac3DyY3Te8, relaxed
# **Magnetization**: 0.0 μB/cell
# **DFT total energy**: -83.0 eV per formula unit
data_Ac3DyY3Te8
_space_group_name_H-M_alt 'R -3 m'
_space_group_IT_number 166
_space_group_name_Hall '-R 3 2"'
_cell_length_a 8.9427
_cell_length_b 8.9427
_cell_length_c 22.6761
_cell_angle_alpha 90.00
_cell_angle_beta 90.00
_cell_angle_gamma 120.00
loop_
_atom_site_label
_atom_site_type_symbol
_atom_site_fract_x
_atom_site_fract_y
_atom_site_fract_z
Ac1 Ac 0.0000 0.5000 0.0000
Dy1 Dy 0.0000 0.0000 0.5000
Y1 Y 0.0000 0.5000 0.5000
Te1 Te 0.0000 0.0000 0.2416
Te2 Te 0.0074 0.5037 0.7564


[3]
# PBE-GGA Ca2Be3ZnAu12, relaxed
# **Magnetization**: 0.0 μB/cell
# **E_form**: -0.17 eV/atom
# **DFT total energy**: -58.9 eV per formula unit
data_Ca2Be3ZnAu12
_space_group_name_H-M_alt 'R -3 m'
_space_group_IT_number 166
_space_group_name_Hall '-R 3 2"'
_cell_length_a 8.2884
_cell_length_b 8.2884
_cell_length_c 18.7214
_cell_angle_alpha 90.00
_cell_angle_beta 90.00
_cell_angle_gamma 120.00
loop_
_atom_site_label
_atom_site_type_symbol
_atom_site_fract_x
_atom_site_fract_y
_atom_site_fract_z
Ca1 Ca 0.0000 0.0000 0.1056
Be1 Be 0.0000 0.5000 0.0000
Zn1 Zn 0.0000 0.0000 0.5000
Au1 Au 0.0042 0.5021 0.8766
Au2 Au 0.0380 0.5190 0.3622


[4]
# PBE-GGA TeOsPt4, relaxed
# **Magnetization**: 4.8 μB/cell
# **DFT total energy**: -34.9 eV per formula unit
data_TeOsPt4
_space_group_name_H-M_alt 'F -4 3 m'
_space_group_IT_number 216
_space_group_name_Hall 'F -4 2 3'
_cell_length_a 7.4989
_cell_length_b 7.4989
_cell_length_c 7.4989
_cell_angle_alpha 90.00
_cell_angle_beta 90.00
_cell_angle_gamma 90.00
loop_
_atom_site_label
_atom_site_type_symbol
_atom_site_fract_x
_atom_site_fract_y
_atom_site_fract_z
Te1 Te 0.0000 0.0000 0.0000
Os1 Os 0.2500 0.2500 0.7500
Pt1 Pt 0.1243 0.1243 0.3757


[5]
# PBE-GGA LiLa2PbO5, relaxed
# **Magnetization**: 1.8 μB/cell
# **DFT total energy**: -59.2 eV per formula unit
data_LiLa2PbO5
_space_group_name_H-M_alt 'P 4/m b m'
_space_group_IT_number 127
_space_group_name_Hall '-P 4 2ab'
_cell_length_a 6.9458
_cell_length_b 6.9458
_cell_length_c 6.4840
_cell_angle_alpha 90.00
_cell_angle_beta 90.00
_cell_angle_gamma 90.00
loop_
_atom_site_label
_atom_site_type_symbol
_atom_site_fract_x
_atom_site_fract_y
_atom_site_fract_z
Li1 Li 0.0000 0.0000 0.0000
La1 La 0.1787 0.3213 0.5000
Pb1 Pb 0.0000 0.5000 0.0000
O1 O 0.0000 0.0000 0.5000
O2 O 0.1481 0.6481 0.2603